No. 1
A plane-wave DFT calculation with PBE was carried out for a relaxed Ta4CdCo crystal.

Results
- energy of formation (kcal/mol of atoms) = 14.3
- calculated density (g cm⁻³) = 13.2
- SG = F-43m, No. 216

The structure in POSCAR format:
```
Ta4CdCo
1.0
0.000 3.830 3.830
3.830 0.000 3.830
3.830 3.830 0.000
Ta Cd Co
4 1 1
direct
0.125 0.125 0.125 Ta
0.125 0.125 0.625 Ta
0.125 0.625 0.125 Ta
0.625 0.125 0.125 Ta
0.750 0.750 0.750 Cd
0.500 0.500 0.500 Co
```

***

No. 2
A plane-wave DFT calculation with PBE was carried out for a relaxed CsCd2BiIr crystal.

Results
- energy of formation (kcal/mol of atoms) = 0.2
- offset from the most stable computed form (meV/atom) = 0
- calculated density (g cm⁻³) = 8.0
- SG = P4/mmm, No. 123

The structure in POSCAR format:
```
CsCd2BiIr
1.0
5.434 0.000 0.000
0.000 5.434 0.000
0.000 0.000 5.332
Cs Cd Bi Ir
1 2 1 1
direct
0.000 0.000 0.000 Cs
0.000 0.500 0.500 Cd
0.500 0.000 0.500 Cd
0.500 0.500 0.000 Bi
0.500 0.500 0.500 Ir
```

***

No. 3
A plane-wave DFT calculation with PBE was carried out for a relaxed Hf6Tc5Mo crystal.

Results
- energy of formation (kcal/mol of atoms) = -9.2
- calculated density (g cm⁻³) = 13.1
- SG = Cmmm, No. 65

The structure in POSCAR format:
```
Hf6Tc5Mo
1.0
2.315 -6.933 0.000
2.315 6.933 0.000
0.000 0.000 6.549
Hf Tc Mo
6 5 1
direct
0.000 0.000 0.247 Hf
0.000 0.000 0.753 Hf
0.332 0.668 0.248 Hf
0.332 0.668 0.752 Hf
0.668 0.332 0.248 Hf
0.668 0.332 0.752 Hf
0.165 0.835 0.500 Tc
0.167 0.833 0.000 Tc
0.500 0.500 0.000 Tc
0.833 0.167 0.000 Tc
0.835 0.165 0.500 Tc
0.500 0.500 0.500 Mo
```

***

No. 4
A plane-wave DFT calculation with PBE was carried out for a relaxed YMn3Be crystal.

Results
- energy of formation (kcal/mol of atoms) = 46.2
- offset from the most stable computed form (meV/atom) = 1651
- calculated density (g cm⁻³) = 3.9
- SG = Pm-3m, No. 221

The structure in POSCAR format:
```
YMn3Be
1.0
4.811 0.000 0.000
0.000 4.811 0.000
0.000 0.000 4.811
Y Mn Be
1 3 1
direct
0.000 0.000 0.000 Y
0.000 0.000 0.500 Mn
0.000 0.500 0.000 Mn
0.500 0.000 0.000 Mn
0.500 0.500 0.500 Be
```